Entry 1:
# SmHoTm2Sc, relaxed, DFT GGA-PBE
# ΔE_f, eV/f.u.: 1.69
# Total magnetization, μB per atom: 0.000
data_SmHoTm2Sc
_chemical_formula_sum 'Sm4 Ho4 Tm8 Sc4'
_symmetry_space_group_name_H-M 'C m c m'
_symmetry_Int_Tables_number 63
_symmetry_space_group_name_Hall '-C 2c 2'
_cell_length_a 8.115
_cell_length_b 11.143
_cell_length_c 7.044
_cell_angle_alpha 90.00
_cell_angle_beta 90.00
_cell_angle_gamma 90.00
loop_
_atom_site_label
_atom_site_fract_x
_atom_site_fract_y
_atom_site_fract_z
Sm1 0.000 0.230 0.250
Ho1 0.000 0.230 0.750
Tm1 0.196 0.000 0.000
Sc1 0.000 0.497 0.250

---

Entry 2:
# Ca3BiPt, relaxed, DFT GGA-PBE
# ΔE_f, eV/f.u.: -3.42
# Total magnetization, μB per atom: 0.000
data_Ca3BiPt
_chemical_formula_sum 'Ca3 Bi1 Pt1'
_symmetry_space_group_name_H-M 'P m -3 m'
_symmetry_Int_Tables_number 221
_symmetry_space_group_name_Hall '-P 4 2 3'
_cell_length_a 5.489
_cell_length_b 5.489
_cell_length_c 5.489
_cell_angle_alpha 90.00
_cell_angle_beta 90.00
_cell_angle_gamma 90.00
loop_
_atom_site_label
_atom_site_fract_x
_atom_site_fract_y
_atom_site_fract_z
Ca1 0.000 0.000 0.500
Bi1 0.500 0.500 0.500
Pt1 0.000 0.000 0.000

---

Entry 3:
# Li7Ca3As4, relaxed, DFT GGA-PBE
# ΔE_f, eV/f.u.: -11.52
# Total magnetization, μB per atom: 0.038
data_Li7Ca3As4
_chemical_formula_sum 'Li14 Ca6 As8'
_symmetry_space_group_name_H-M 'C 1 2/m 1'
_symmetry_Int_Tables_number 12
_cell_length_a 15.901
_cell_length_b 4.336
_cell_length_c 10.306
_cell_angle_alpha 90.00
_cell_angle_beta 128.98
_cell_angle_gamma 90.00
loop_
_symmetry_equiv_pos_as_xyz
'x,y,z'
'-x,-y,-z'
'-x,y,-z'
'x,-y,z'
'x+1/2,y+1/2,z'
'-x+1/2,-y+1/2,-z'
'-x+1/2,y+1/2,-z'
'x+1/2,-y+1/2,z'
loop_
_atom_site_label
_atom_site_fract_x
_atom_site_fract_y
_atom_site_fract_z
Li1 0.000 0.000 0.000
Li2 0.016 0.500 0.784
Li3 0.172 0.000 0.913
Li4 0.177 0.500 0.512
Ca1 0.000 0.000 0.500
Ca2 0.199 0.500 0.237
As1 0.103 0.000 0.325
As2 0.169 0.500 0.760

---

Entry 4:
# ZnB2O, relaxed, DFT GGA-PBE
# Formation energy without anion corrections, eV per atom: 1.694
# Total magnetization, μB per atom: 0.000
data_ZnB2O
_chemical_formula_sum 'Zn4 B8 O4'
_symmetry_space_group_name_H-M 'F m -3 m'
_symmetry_Int_Tables_number 225
_symmetry_space_group_name_Hall '-F 4 2 3'
_cell_length_a 5.466
_cell_length_b 5.466
_cell_length_c 5.466
_cell_angle_alpha 90.00
_cell_angle_beta 90.00
_cell_angle_gamma 90.00
loop_
_atom_site_label
_atom_site_fract_x
_atom_site_fract_y
_atom_site_fract_z
Zn1 0.000 0.000 0.000
B1 0.250 0.250 0.250
O1 0.000 0.000 0.500

---

Entry 5:
# Ga2HgPbI8, relaxed, DFT GGA-PBE
# Formation energy without anion corrections, eV per atom: -0.461
# Total magnetization, μB per atom: 0.000
data_Ga2HgPbI8
_chemical_formula_sum 'Ga4 Hg2 Pb2 I16'
_symmetry_space_group_name_H-M 'C 1 2/m 1'
_symmetry_Int_Tables_number 12
_cell_length_a 12.539
_cell_length_b 8.590
_cell_length_c 11.855
_cell_angle_alpha 90.00
_cell_angle_beta 96.88
_cell_angle_gamma 90.00
loop_
_symmetry_equiv_pos_as_xyz
'x,y,z'
'-x,-y,-z'
'-x,y,-z'
'x,-y,z'
'x+1/2,y+1/2,z'
'-x+1/2,-y+1/2,-z'
'-x+1/2,y+1/2,-z'
'x+1/2,-y+1/2,z'
loop_
_atom_site_label
_atom_site_fract_x
_atom_site_fract_y
_atom_site_fract_z
Ga1 0.125 0.000 0.313
Hg1 0.000 0.500 0.000
Pb1 0.000 0.500 0.500
I1 0.007 0.240 0.705
I2 0.236 0.000 0.148
I3 0.239 0.000 0.512

---

Entry 6:
# CsAu2CS, relaxed, DFT GGA-PBE
# Formation energy without anion corrections, eV per atom: 0.761
# Total magnetization, μB per atom: 0.000
data_CsAu2CS
_chemical_formula_sum 'Cs1 Au2 C1 S1'
_symmetry_space_group_name_H-M 'P 4/m m m'
_symmetry_Int_Tables_number 123
_symmetry_space_group_name_Hall '-P 4 2'
_cell_length_a 4.227
_cell_length_b 4.227
_cell_length_c 7.886
_cell_angle_alpha 90.00
_cell_angle_beta 90.00
_cell_angle_gamma 90.00
loop_
_atom_site_label
_atom_site_fract_x
_atom_site_fract_y
_atom_site_fract_z
Cs1 0.000 0.000 0.000
Au1 0.000 0.500 0.500
C1 0.000 0.000 0.500
S1 0.500 0.500 0.000

---

Entry 7:
# IrSeBr2, relaxed, DFT GGA-PBE
# Formation energy without anion corrections, eV per atom: 0.629
# Total magnetization, μB per atom: 0.000
data_IrSeBr2
_chemical_formula_sum 'Ir2 Se2 Br4'
_symmetry_space_group_name_H-M 'C m m m'
_symmetry_Int_Tables_number 65
_symmetry_space_group_name_Hall '-C 2 2'
_cell_length_a 3.102
_cell_length_b 5.957
_cell_length_c 10.510
_cell_angle_alpha 90.00
_cell_angle_beta 90.00
_cell_angle_gamma 90.00
loop_
_atom_site_label
_atom_site_fract_x
_atom_site_fract_y
_atom_site_fract_z
Ir1 0.000 0.000 0.000
Se1 0.000 0.000 0.500
Br1 0.000 0.500 0.186

---

Entry 8:
# CaCeHo2Te4, relaxed, DFT GGA-PBE
# Formation energy without anion corrections, eV per atom: -1.368
# Total magnetization, μB per atom: 0.152
data_CaCeHo2Te4
_chemical_formula_sum 'Ca1 Ce1 Ho2 Te4'
_symmetry_space_group_name_H-M 'P 1 2/m 1'
_symmetry_Int_Tables_number 10
_cell_length_a 7.624
_cell_length_b 4.388
_cell_length_c 7.700
_cell_angle_alpha 90.00
_cell_angle_beta 109.15
_cell_angle_gamma 90.00
loop_
_symmetry_equiv_pos_as_xyz
'x,y,z'
'-x,-y,-z'
'-x,y,-z'
'x,-y,z'
loop_
_atom_site_label
_atom_site_fract_x
_atom_site_fract_y
_atom_site_fract_z
Ca1 0.000 0.000 0.000
Ce1 0.000 0.500 0.500
Ho1 0.500 0.000 0.500
Ho2 0.500 0.500 0.000
Te1 0.258 0.500 0.250
Te2 0.260 0.000 0.757

---

Entry 9:
# K2CdMo, relaxed, DFT GGA-PBE
# ΔE_f, eV/f.u.: 3.43
# Total magnetization, μB per atom: 0.876
data_K2CdMo
_chemical_formula_sum 'K4 Cd2 Mo2'
_symmetry_space_group_name_H-M 'C 1 2/m 1'
_symmetry_Int_Tables_number 12
_cell_length_a 20.507
_cell_length_b 3.527
_cell_length_c 4.502
_cell_angle_alpha 90.00
_cell_angle_beta 102.54
_cell_angle_gamma 90.00
loop_
_symmetry_equiv_pos_as_xyz
'x,y,z'
'-x,-y,-z'
'-x,y,-z'
'x,-y,z'
'x+1/2,y+1/2,z'
'-x+1/2,-y+1/2,-z'
'-x+1/2,y+1/2,-z'
'x+1/2,-y+1/2,z'
loop_
_atom_site_label
_atom_site_fract_x
_atom_site_fract_y
_atom_site_fract_z
K1 0.151 0.000 0.154
Cd1 0.000 0.500 0.000
Mo1 0.000 0.000 0.500

---

Entry 10:
# RbYCu2Tc, relaxed, DFT GGA-PBE
# ΔE_f, eV/f.u.: 6.34
# Total magnetization, μB per atom: 0.030
data_RbYCu2Tc
_chemical_formula_sum 'Rb1 Y1 Cu2 Tc1'
_symmetry_space_group_name_H-M 'P 4/m m m'
_symmetry_Int_Tables_number 123
_symmetry_space_group_name_Hall '-P 4 2'
_cell_length_a 4.880
_cell_length_b 4.880
_cell_length_c 5.031
_cell_angle_alpha 90.00
_cell_angle_beta 90.00
_cell_angle_gamma 90.00
loop_
_atom_site_label
_atom_site_fract_x
_atom_site_fract_y
_atom_site_fract_z
Rb1 0.000 0.000 0.000
Y1 0.500 0.500 0.000
Cu1 0.000 0.500 0.500
Tc1 0.000 0.000 0.500

---

Entry 11:
# Sr2HfBiN, relaxed, DFT GGA-PBE
# Formation energy without anion corrections, eV per atom: 0.253
# Total magnetization, μB per atom: 0.374
data_Sr2HfBiN
_chemical_formula_sum 'Sr2 Hf1 Bi1 N1'
_symmetry_space_group_name_H-M 'P 4/m m m'
_symmetry_Int_Tables_number 123
_symmetry_space_group_name_Hall '-P 4 2'
_cell_length_a 5.028
_cell_length_b 5.028
_cell_length_c 5.365
_cell_angle_alpha 90.00
_cell_angle_beta 90.00
_cell_angle_gamma 90.00
loop_
_atom_site_label
_atom_site_fract_x
_atom_site_fract_y
_atom_site_fract_z
Sr1 0.000 0.500 0.000
Hf1 0.000 0.000 0.500
Bi1 0.500 0.500 0.500
N1 0.500 0.500 0.000

---

Entry 12:
# MnSnPHS, relaxed, DFT GGA-PBE
# Total DFT energy (no corrections), eV per cell: -26.5
# Total magnetization, μB per atom: 0.562
data_MnSnPHS
_chemical_formula_sum 'Mn1 Sn1 P1 H1 S1'
_symmetry_space_group_name_H-M 'P 1 m 1'
_symmetry_Int_Tables_number 6
_cell_length_a 5.629
_cell_length_b 3.220
_cell_length_c 5.829
_cell_angle_alpha 90.00
_cell_angle_beta 110.03
_cell_angle_gamma 90.00
loop_
_symmetry_equiv_pos_as_xyz
'x,y,z'
'x,-y,z'
loop_
_atom_site_label
_atom_site_fract_x
_atom_site_fract_y
_atom_site_fract_z
Mn1 0.000 0.000 0.000
Sn1 0.219 0.500 0.731
P1 0.225 0.500 0.280
H1 0.495 0.500 0.343
S1 0.697 0.500 0.956